Density functional theory data (PBE-GGA) for CsCu5Se3 after structural relaxation.

As for the total energy: -3.667 eV per atom.

The structure belongs to space group Pmma (No. 51); the cell edges are 9.983, 4.085 and 9.018 Å and the angles 90.00°, 90.00° and 90.00°. The inequivalent atoms are Cs at (0.250, 0.000, 0.046), Cu at (0.075, 0.000, 0.636), Cu at (0.109, 0.500, 0.431), Cu at (0.250, 0.500, 0.686), Se at (0.030, 0.500, 0.788) and Se at (0.250, 0.000, 0.443).